1.
A geometry-optimized FeIr2Rh structure. Source: Alexandria, functional GGA-PBEsol.

a b c (Å): 8.7796 2.6776 4.6110
angles (deg): 90.00 100.82 90.00
Space group C2/m (No. 12)
One atom of each set of equivalent atoms:
Fe 0.0000 0.0000 0.0000 x2
Ir 0.2461 0.5000 0.2448 x4
Rh 0.0000 0.5000 0.5000 x2

Results
DOS(E_F)   9.41 states/eV/cell
Final energy   -9.2131 eV/atom
M_tot   5.535 μB per cell
Energy of formation   -0.026 eV/atom



2.
A geometry-optimized Fe2IrRh structure. Source: Alexandria, functional GGA-PBEsol.

a b c (Å): 3.9048 2.6056 9.4307
angles (deg): 90.00 90.00 90.00
Space group Amm2 (No. 38)
One atom of each set of equivalent atoms:
Fe 0.0000 0.0000 0.0000 x2
Fe 0.5000 0.0000 0.1297 x2
Ir 0.0000 0.0000 0.7323 x2
Rh 0.5000 0.0000 0.3930 x2

Results
DOS(E_F)   9.85 states/eV/cell
Final energy   -8.9446 eV/atom
M_tot   3.527 μB per cell
Energy of formation   0.028 eV/atom



3.
A geometry-optimized FeIr2Rh structure. Source: Alexandria, functional GGA-PBEsol.

a b c (Å): 8.7980 2.6743 4.5745
angles (deg): 90.00 100.49 90.00
Space group Cm (No. 8)
One atom of each set of equivalent atoms:
Fe 0.0000 0.0000 0.0000 x2
Ir 0.0023 0.5000 0.5034 x2
Ir 0.2530 0.0000 0.7491 x2
Rh 0.2486 0.5000 0.2417 x2

Results
DOS(E_F)   8.84 states/eV/cell
Final energy   -9.2105 eV/atom
M_tot   4.909 μB per cell
Energy of formation   -0.023 eV/atom